Record 1
Zn2Hg: optimized geometry, PBE-GGA.

Space group: Fd-3m, No. 227
Energy of formation from the pure elements in kcal/mol of atoms: 2.5

a = 5.3748 Å, b = 5.3748 Å, c = 5.3748 Å
α = 60.00°, β = 60.00°, γ = 60.00°
Closest atoms and distances in Å follow each position.
Fractional coordinates of all 6 atoms:
1 Zn 0.0000 0.0000 0.0000  6 Zn 2.69
2 Zn 0.0000 0.0000 0.5000  6 Zn 2.69
3 Zn 0.0000 0.5000 0.0000  6 Zn 2.69
4 Zn 0.5000 0.0000 0.0000  6 Zn 2.69
5 Hg 0.3750 0.3750 0.3750  12 Zn 3.15, 4 Hg 3.29
6 Hg 0.6250 0.6250 0.6250  12 Zn 3.15, 4 Hg 3.29

=====

Record 2
PmYZnFe: optimized geometry, PBE-GGA.

Space group: F-43m, No. 216
Energy of formation from the pure elements in kcal/mol of atoms: -0.8

a = 7.0575 Å, b = 7.0575 Å, c = 7.0575 Å
α = 90.00°, β = 90.00°, γ = 90.00°
Closest atoms and distances in Å follow each position.
Fractional coordinates of all 16 atoms:
1 Pm 0.0000 0.0000 0.0000  4 Fe 3.06, 4 Zn 3.06
2 Pm 0.0000 0.5000 0.5000  4 Fe 3.06, 4 Zn 3.06
3 Pm 0.5000 0.0000 0.5000  4 Fe 3.06, 4 Zn 3.06
4 Pm 0.5000 0.5000 0.0000  4 Fe 3.06, 4 Zn 3.06
5 Y 0.0000 0.0000 0.5000  4 Fe 3.06, 4 Zn 3.06
6 Y 0.0000 0.5000 0.0000  4 Fe 3.06, 4 Zn 3.06
7 Y 0.5000 0.0000 0.0000  4 Fe 3.06, 4 Zn 3.06
8 Y 0.5000 0.5000 0.5000  4 Fe 3.06, 4 Zn 3.06
9 Zn 0.2500 0.2500 0.7500  4 Pm 3.06, 4 Y 3.06
10 Zn 0.2500 0.7500 0.2500  4 Pm 3.06, 4 Y 3.06
11 Zn 0.7500 0.2500 0.2500  4 Pm 3.06, 4 Y 3.06
12 Zn 0.7500 0.7500 0.7500  4 Pm 3.06, 4 Y 3.06
13 Fe 0.2500 0.2500 0.2500  4 Y 3.06, 4 Pm 3.06
14 Fe 0.2500 0.7500 0.7500  4 Y 3.06, 4 Pm 3.06
15 Fe 0.7500 0.2500 0.7500  4 Y 3.06, 4 Pm 3.06
16 Fe 0.7500 0.7500 0.2500  4 Y 3.06, 4 Pm 3.06

=====

Record 3
CeSm2PtN4: optimized geometry, PBE-GGA.

Space group: Cmcm, No. 63
Formation energy without anion corrections in eV per atom: -0.87

a = 6.1547 Å, b = 6.1547 Å, c = 11.9870 Å
α = 90.00°, β = 90.00°, γ = 147.34°
Closest atoms and distances in Å follow each position.
Fractional coordinates of all 16 atoms:
1 Ce 0.1146 0.8854 0.7500  6 N 2.52-2.53
2 Ce 0.8854 0.1146 0.2500  6 N 2.52-2.53
3 Sm 0.3714 0.6286 0.5496  4 N 2.38-2.62
4 Sm 0.3714 0.6286 0.9504  4 N 2.38-2.62
5 Sm 0.6286 0.3714 0.0496  4 N 2.38-2.62
6 Sm 0.6286 0.3714 0.4504  4 N 2.38-2.62
7 Pt 0.1485 0.8515 0.2500  4 N 2.13-2.15
8 Pt 0.8515 0.1485 0.7500  4 N 2.13-2.15
9 N 0.0000 0.0000 0.0000  4 Sm 2.38
10 N 0.0000 0.0000 0.5000  4 Sm 2.38
11 N 0.2839 0.7161 0.1327  1 Pt 2.13
12 N 0.2839 0.7161 0.3673  1 Pt 2.13
13 N 0.4594 0.5406 0.7500  2 Pt 2.15
14 N 0.5406 0.4594 0.2500  2 Pt 2.15
15 N 0.7161 0.2839 0.6327  1 Pt 2.13
16 N 0.7161 0.2839 0.8673  1 Pt 2.13

=====

Record 4
Nd2GaCu: optimized geometry, PBE-GGA.

Space group: P2_1/m, No. 11
Energy of formation from the pure elements in kcal/mol of atoms: -8.0

a = 5.9225 Å, b = 4.4865 Å, c = 7.7600 Å
α = 90.00°, β = 105.00°, γ = 90.00°
Closest atoms and distances in Å follow each position.
Fractional coordinates of all 8 atoms:
1 Nd 0.2062 0.2500 0.4478  3 Cu 2.98-3.08, 3 Ga 3.06-3.19
2 Nd 0.2151 0.2500 0.9224  3 Cu 3.09-3.13, 4 Ga 3.13-3.19
3 Nd 0.7849 0.7500 0.0776  3 Cu 3.09-3.13, 4 Ga 3.13-3.19
4 Nd 0.7938 0.7500 0.5522  3 Cu 2.98-3.08, 3 Ga 3.06-3.19
5 Ga 0.3389 0.7500 0.2240  2 Cu 2.72
6 Ga 0.6611 0.2500 0.7760  2 Cu 2.72
7 Cu 0.3930 0.7500 0.7182  2 Ga 2.72, 1 Nd 2.98
8 Cu 0.6070 0.2500 0.2818  2 Ga 2.72, 1 Nd 2.98

=====

Record 5
La2PrIn9: optimized geometry, PBE-GGA.

Space group: P4/mmm, No. 123
Energy of formation from the pure elements in kcal/mol of atoms: -11.2

a = 4.7715 Å, b = 4.7715 Å, c = 14.3107 Å
α = 90.00°, β = 90.00°, γ = 90.00°
Closest atoms and distances in Å follow each position.
Fractional coordinates of all 12 atoms:
1 La 0.0000 0.0000 0.1684  12 In 3.37-3.39
2 La 0.0000 0.0000 0.8316  12 In 3.37-3.39
3 Pr 0.0000 0.0000 0.5000  12 In 3.36-3.37
4 In 0.0000 0.5000 0.0000  8 In 3.37, 4 La 3.39
5 In 0.0000 0.5000 0.3349  8 In 3.36-3.39, 2 Pr 3.36, 2 La 3.37
6 In 0.0000 0.5000 0.6651  8 In 3.36-3.39, 2 Pr 3.36, 2 La 3.37
7 In 0.5000 0.0000 0.0000  8 In 3.37, 4 La 3.39
8 In 0.5000 0.0000 0.3349  8 In 3.36-3.39, 2 Pr 3.36, 2 La 3.37
9 In 0.5000 0.0000 0.6651  8 In 3.36-3.39, 2 Pr 3.36, 2 La 3.37
10 In 0.5000 0.5000 0.1666  8 In 3.37-3.39, 4 La 3.37
11 In 0.5000 0.5000 0.5000  8 In 3.36, 4 Pr 3.37
12 In 0.5000 0.5000 0.8334  8 In 3.37-3.39, 4 La 3.37

=====

Record 6
PrBHRu: optimized geometry, PBE-GGA.

Uncorrected energy in eV/atom: -6.518
Space group: P4/nmm, No. 129

a = 3.9997 Å, b = 3.9997 Å, c = 7.6693 Å
α = 90.00°, β = 90.00°, γ = 90.00°
Closest atoms and distances in Å follow each position.
Fractional coordinates of all 8 atoms:
1 Pr 0.2500 0.2500 0.1876  4 H 2.46
2 Pr 0.7500 0.7500 0.8124  4 H 2.46
3 B 0.2500 0.2500 0.5958  4 Ru 2.13
4 B 0.7500 0.7500 0.4042  4 Ru 2.13
5 H 0.2500 0.7500 0.0000  4 Pr 2.46
6 H 0.7500 0.2500 0.0000  4 Pr 2.46
7 Ru 0.2500 0.7500 0.5000  4 B 2.13
8 Ru 0.7500 0.2500 0.5000  4 B 2.13

=====

Record 7
Pr8Rh3Cl4F: optimized geometry, PBE-GGA.

Space group: R-3m, No. 166
Formation energy without anion corrections in eV per atom: -1.29

a = 8.9466 Å, b = 8.9466 Å, c = 8.9466 Å
α = 54.34°, β = 54.34°, γ = 54.34°
Closest atoms and distances in Å follow each position.
Fractional coordinates of all 16 atoms:
1 Pr 0.2291 0.7401 0.7401  2 Rh 2.82, 1 F 2.89
2 Pr 0.2348 0.2348 0.2348  3 Rh 2.82
3 Pr 0.2599 0.2599 0.7709  2 Rh 2.82, 1 F 2.89
4 Pr 0.2599 0.7709 0.2599  2 Rh 2.82, 1 F 2.89
5 Pr 0.7401 0.2291 0.7401  2 Rh 2.82, 1 F 2.89
6 Pr 0.7401 0.7401 0.2291  2 Rh 2.82, 1 F 2.89
7 Pr 0.7652 0.7652 0.7652  3 Rh 2.82
8 Pr 0.7709 0.2599 0.2599  2 Rh 2.82, 1 F 2.89
9 Rh 0.0000 0.0000 0.5000  6 Pr 2.82
10 Rh 0.0000 0.5000 0.0000  6 Pr 2.82
11 Rh 0.5000 0.0000 0.0000  6 Pr 2.82
12 Cl 0.0000 0.0000 0.0000  6 Pr 3.19
13 Cl 0.0000 0.5000 0.5000  6 Pr 3.25-3.26
14 Cl 0.5000 0.0000 0.5000  6 Pr 3.25-3.26
15 Cl 0.5000 0.5000 0.0000  6 Pr 3.25-3.26
16 F 0.5000 0.5000 0.5000  6 Pr 2.89

=====

Record 8
MnHg2Ir: optimized geometry, PBE-GGA.

Space group: Imm2, No. 44
Relative energy among the computed polymorphs in eV/atom: 0.137
Energy of formation from the pure elements in kcal/mol of atoms: 8.1

a = 3.0553 Å, b = 4.8248 Å, c = 9.8950 Å
α = 90.00°, β = 90.00°, γ = 90.00°
Closest atoms and distances in Å follow each position.
Fractional coordinates of all 8 atoms:
1 Mn 0.0000 0.0000 0.0000  2 Ir 2.52
2 Mn 0.5000 0.5000 0.5000  2 Ir 2.52
3 Hg 0.0000 0.0000 0.5419  4 Mn 2.89, 2 Ir 2.95, 4 Hg 3.06-3.17
4 Hg 0.0000 0.5000 0.7612  4 Ir 2.88, 2 Mn 3.00, 4 Hg 3.06-3.17
5 Hg 0.5000 0.0000 0.2612  4 Ir 2.88, 2 Mn 3.00, 4 Hg 3.06-3.17
6 Hg 0.5000 0.5000 0.0419  4 Mn 2.89, 2 Ir 2.95, 4 Hg 3.06-3.17
7 Ir 0.0000 0.5000 0.2972  2 Mn 2.52
8 Ir 0.5000 0.0000 0.7972  2 Mn 2.52

=====

Record 9
KTbEr4S8: optimized geometry, PBE-GGA.

Space group: R3m, No. 160
Formation energy without anion corrections in eV per atom: -1.93

a = 8.1913 Å, b = 8.1913 Å, c = 8.1913 Å
α = 59.65°, β = 59.65°, γ = 59.65°
Closest atoms and distances in Å follow each position.
Fractional coordinates of all 14 atoms:
1 K 0.0000 0.0000 0.0000  4 S 2.83-2.84
2 Tb 0.6312 0.6312 0.6312  6 S 2.68-2.88
3 Er 0.1128 0.6310 0.6310  6 S 2.64-2.86
4 Er 0.2517 0.2517 0.2517  4 S 2.64-2.66
5 Er 0.6310 0.1128 0.6310  6 S 2.64-2.86
6 Er 0.6310 0.6310 0.1128  6 S 2.64-2.86
7 S 0.3823 0.3823 0.8553  3 Er 2.64-2.86, 1 Tb 2.88
8 S 0.3823 0.8553 0.3823  3 Er 2.64-2.86, 1 Tb 2.88
9 S 0.3838 0.3838 0.3838  4 Er 2.66-2.86
10 S 0.4258 0.8620 0.8620  2 Er 2.64, 1 Tb 2.68, 1 K 2.84
11 S 0.8553 0.3823 0.3823  3 Er 2.64-2.86, 1 Tb 2.88
12 S 0.8592 0.8592 0.8592  3 Er 2.64, 1 K 2.83
13 S 0.8620 0.4258 0.8620  2 Er 2.64, 1 Tb 2.68, 1 K 2.84
14 S 0.8620 0.8620 0.4258  2 Er 2.64, 1 Tb 2.68, 1 K 2.84

=====

Record 10
SbHIrNF: optimized geometry, PBE-GGA.

Space group: Cm, No. 8
Relative energy among the computed polymorphs in eV/atom: 0.056

a = 6.9893 Å, b = 2.8654 Å, c = 7.3872 Å
α = 90.00°, β = 106.28°, γ = 90.00°
Closest atoms and distances in Å follow each position.
Fractional coordinates of all 10 atoms:
1 Sb 0.0000 0.0000 0.0000  1 F 2.10
2 Sb 0.5000 0.5000 0.0000  1 F 2.10
3 H 0.1580 0.5000 0.5153  1 N 1.05
4 H 0.6580 0.0000 0.5153  1 N 1.05
5 Ir 0.3777 0.5000 0.3078  3 N 2.06-2.12
6 Ir 0.8777 0.0000 0.3078  3 N 2.06-2.12
7 N 0.0981 0.5000 0.3679  1 H 1.05
8 N 0.5981 0.0000 0.3679  1 H 1.05
9 F 0.2429 0.5000 0.7688  1 H 1.80
10 F 0.7429 0.0000 0.7688  1 H 1.80

=====

Record 11
Pm4Tm3Ge4: optimized geometry, PBE-GGA.

Space group: Immm, No. 71
Energy of formation from the pure elements in kcal/mol of atoms: -13.7

a = 10.0736 Å, b = 10.0736 Å, c = 10.0736 Å
α = 159.64°, β = 127.35°, γ = 57.03°
Closest atoms and distances in Å follow each position.
Fractional coordinates of all 11 atoms:
1 Pm 0.0076 0.8327 0.1749  4 Ge 3.05-3.10, 1 Pm 3.13
2 Pm 0.3423 0.1673 0.1749  4 Ge 3.05-3.10, 1 Pm 3.13
3 Pm 0.6577 0.8327 0.8251  4 Ge 3.05-3.10, 1 Pm 3.13
4 Pm 0.9924 0.1673 0.8251  4 Ge 3.05-3.10, 1 Pm 3.13
5 Tm 0.0000 0.5000 0.5000  4 Ge 3.05
6 Tm 0.4083 0.4083 0.0000  6 Ge 2.89-3.13
7 Tm 0.5917 0.5917 0.0000  6 Ge 2.89-3.13
8 Ge 0.2772 0.0000 0.2772  6 Tm 3.05-3.13, 2 Pm 3.10
9 Ge 0.2795 0.7795 0.5000  2 Tm 2.89, 6 Pm 3.05-3.09
10 Ge 0.7205 0.2205 0.5000  2 Tm 2.89, 6 Pm 3.05-3.09
11 Ge 0.7228 0.0000 0.7228  6 Tm 3.05-3.13, 2 Pm 3.10

=====

What did the sixth record say?
PrBHRu: optimized geometry, PBE-GGA.

Uncorrected energy in eV/atom: -6.518
Space group: P4/nmm, No. 129

a = 3.9997 Å, b = 3.9997 Å, c = 7.6693 Å
α = 90.00°, β = 90.00°, γ = 90.00°
Closest atoms and distances in Å follow each position.
Fractional coordinates of all 8 atoms:
1 Pr 0.2500 0.2500 0.1876  4 H 2.46
2 Pr 0.7500 0.7500 0.8124  4 H 2.46
3 B 0.2500 0.2500 0.5958  4 Ru 2.13
4 B 0.7500 0.7500 0.4042  4 Ru 2.13
5 H 0.2500 0.7500 0.0000  4 Pr 2.46
6 H 0.7500 0.2500 0.0000  4 Pr 2.46
7 Ru 0.2500 0.7500 0.5000  4 B 2.13
8 Ru 0.7500 0.2500 0.5000  4 B 2.13

=====

- What is the formula in the seventh record?
  Pr8Rh3Cl4F

=====

- What is the formula in the eleventh record?
  Pm4Tm3Ge4